Record 1
Computed, not measured: a geometry-optimized Tb8Te4Pb3 structure at the PBE level of DFT.

Output
The electronic total energy is -74.056 eV for the cell shown.

a = 8.709 Å, b = 8.759 Å, c = 8.759 Å
α = 89.96°, β = 119.94°, γ = 119.94°
Fractional coordinates of all 15 atoms:
Te: 0.000 0.500 0.000
Pb: 0.500 0.000 0.500
Tb: 0.514 0.258 0.258
Te: 0.000 0.000 0.000
Tb: 0.993 0.745 0.745
Tb: 0.007 0.255 0.255
Te: 0.500 0.000 0.000
Tb: 0.486 0.742 0.742
Tb: 0.000 0.746 0.254
Tb: 0.500 0.748 0.252
Te: 0.000 0.000 0.500
Pb: 0.500 0.500 0.000
Tb: 0.000 0.254 0.746
Pb: 0.500 0.500 0.500
Tb: 0.500 0.252 0.748

Record 2
Computed, not measured: a geometry-optimized BeSbNF2 structure at the PBE level of DFT.

Output
As for the offset from the most stable computed form: 5.641 eV/f.u.

a = 4.388 Å, b = 4.388 Å, c = 4.106 Å
α = 90.00°, β = 90.00°, γ = 90.00°
Each line ends with the local moment (μB).
Fractional coordinates of all 5 atoms:
Be: 0.500 0.500 0.500  0.23
F: 0.000 0.500 0.000  0.01
F: 0.500 0.000 0.000  0.01
Sb: 0.000 0.000 0.000  0.00
N: 0.000 0.000 0.500  0.09

Record 3
Computed, not measured: a geometry-optimized TmFeRu2 structure at the PBE level of DFT.

Output
As for the offset from the most stable computed form: 0.079 eV/f.u. The value obtained for the formation energy is -0.004 eV/atom.

a = 3.235 Å, b = 4.437 Å, c = 4.437 Å
α = 90.00°, β = 90.00°, γ = 90.00°
Each line ends with the local moment (μB).
Fractional coordinates of all 4 atoms:
Ru: 0.000 0.000 0.500  0.27
Ru: 0.000 0.500 0.000  0.27
Fe: 0.500 0.000 0.000  2.93
Tm: 0.500 0.500 0.500  -0.11

Record 4
Computed, not measured: a geometry-optimized Li2Dy2TmGa2 structure at the PBE level of DFT.

Output
The value obtained for the formation energy is -0.273 eV/atom.

a = 4.565 Å, b = 4.565 Å, c = 9.158 Å
α = 75.57°, β = 75.57°, γ = 60.00°
Fractional coordinates of all 7 atoms:
Li: 0.394 0.394 0.819
Li: 0.606 0.606 0.181
Tm: 0.000 0.000 0.000
Ga: 0.263 0.263 0.210
Ga: 0.737 0.737 0.790
Dy: 0.125 0.125 0.624
Dy: 0.875 0.875 0.376

Record 5
Computed, not measured: a geometry-optimized Ac5Sb2O12 structure at the PBE level of DFT.

Output
The electronic total energy is -140.620 eV for the cell shown.

a = 6.449 Å, b = 7.468 Å, c = 8.105 Å
α = 105.50°, β = 90.00°, γ = 115.58°
Fractional coordinates of all 19 atoms:
O: 0.499 0.997 0.168
Ac: 0.694 0.387 0.360
Sb: 0.757 0.000 0.000
O: 0.093 0.690 0.422
O: 0.999 0.997 0.828
O: 0.001 0.003 0.172
O: 0.907 0.310 0.578
O: 0.597 0.690 0.422
Sb: 0.243 0.000 0.000
O: 0.403 0.310 0.578
O: 0.894 0.317 0.078
Ac: 0.000 0.000 0.500
Ac: 0.697 0.393 0.834
O: 0.578 0.683 0.922
Ac: 0.303 0.607 0.166
Ac: 0.306 0.613 0.640
O: 0.106 0.683 0.922
O: 0.501 0.003 0.832
O: 0.422 0.317 0.078

Record 6
Computed, not measured: a geometry-optimized LaErAlIn structure at the PBE level of DFT.

Output
As for the offset from the most stable computed form: 0.000 eV/f.u. The value obtained for the formation energy is -0.431 eV/atom.

a = 3.729 Å, b = 3.729 Å, c = 7.685 Å
α = 90.00°, β = 90.00°, γ = 90.00°
Fractional coordinates of all 4 atoms:
In: 0.000 0.000 0.833
Al: 0.000 0.000 0.380
La: 0.500 0.500 0.119
Er: 0.500 0.500 0.596

Record 7
Computed, not measured: a geometry-optimized LiPbSe2 structure at the PBE level of DFT.

Output
The electronic total energy is -14.542 eV for the cell shown.

a = 5.218 Å, b = 5.218 Å, c = 5.218 Å
α = 129.88°, β = 109.62°, γ = 91.32°
Fractional coordinates of all 4 atoms:
Li: 0.250 0.750 0.500
Se: 0.444 0.444 0.000
Se: 0.056 0.056 0.000
Pb: 0.750 0.250 0.500

Record 8
Computed, not measured: a geometry-optimized Nd5Dy12Er structure at the PBE level of DFT.

Output
The value obtained for the formation energy is 0.090 eV/atom.

a = 11.776 Å, b = 10.444 Å, c = 5.751 Å
α = 90.00°, β = 90.00°, γ = 55.68°
Fractional coordinates of all 18 atoms:
Dy: 0.977 0.357 0.000
Dy: 0.702 0.000 0.999
Nd: 0.864 0.272 0.500
Dy: 0.023 0.643 0.000
Dy: 0.199 0.000 0.501
Dy: 0.666 0.357 0.000
Dy: 0.474 0.359 0.500
Dy: 0.801 0.000 0.499
Dy: 0.298 0.000 0.001
Nd: 0.639 0.722 0.000
Er: 0.000 0.000 0.000
Dy: 0.526 0.641 0.500
Dy: 0.334 0.643 0.000
Dy: 0.167 0.359 0.500
Nd: 0.500 0.000 0.500
Dy: 0.833 0.641 0.500
Nd: 0.136 0.728 0.500
Nd: 0.361 0.278 0.000

Record 9
Computed, not measured: a geometry-optimized Sc2Cd3Ga2 structure at the PBE level of DFT.

Output
The value obtained for the formation energy is -0.337 eV/atom.

a = 3.325 Å, b = 4.216 Å, c = 10.392 Å
α = 101.70°, β = 90.00°, γ = 90.00°
Fractional coordinates of all 7 atoms:
Ga: 0.500 0.714 0.428
Sc: 0.000 0.835 0.671
Cd: 0.500 0.576 0.152
Cd: 0.000 0.000 0.000
Sc: 0.000 0.165 0.329
Cd: 0.500 0.424 0.848
Ga: 0.500 0.286 0.572

Record 10
Computed, not measured: a geometry-optimized PbBrCl structure at the PBE level of DFT.

Output
As for the offset from the most stable computed form: 1.364 eV/f.u.

a = 5.093 Å, b = 5.093 Å, c = 5.093 Å
α = 60.00°, β = 60.00°, γ = 60.00°
Fractional coordinates of all 3 atoms:
Cl: 0.750 0.750 0.750
Pb: 0.000 0.000 0.000
Br: 0.500 0.500 0.500

Record 11
Computed, not measured: a geometry-optimized Pr2Zn12Cu3Pt structure at the PBE level of DFT.

Output
The value obtained for the formation energy is -0.087 eV/atom.

a = 11.374 Å, b = 11.374 Å, c = 11.374 Å
α = 30.09°, β = 30.09°, γ = 30.09°
Fractional coordinates of all 18 atoms:
Cu: 0.000 0.000 0.500
Zn: 0.893 0.393 0.893
Pr: 0.641 0.641 0.641
Zn: 0.893 0.893 0.393
Zn: 0.158 0.595 0.595
Zn: 0.842 0.405 0.405
Zn: 0.607 0.107 0.107
Cu: 0.000 0.500 0.000
Pt: 0.000 0.000 0.000
Zn: 0.595 0.158 0.595
Pr: 0.359 0.359 0.359
Zn: 0.595 0.595 0.158
Zn: 0.393 0.893 0.893
Zn: 0.405 0.842 0.405
Zn: 0.107 0.607 0.107
Zn: 0.107 0.107 0.607
Cu: 0.500 0.000 0.000
Zn: 0.405 0.405 0.842